[1]
A plane-wave DFT calculation with GGA-PBE was carried out for a geometry-optimized Pr2NdSm2 structure.

Results
The formation energy from the elements comes out at 0.285 eV/atom. The total magnetization comes out at 0.00 μB/atom.

```
data_Pr2NdSm2
_cell_length_a 3.9536
_cell_length_b 3.9536
_cell_length_c 24.1053
_cell_angle_alpha 90.00
_cell_angle_beta 90.00
_cell_angle_gamma 120.00
_symmetry_space_group_name_H-M 'P 63/m m c'
_symmetry_Int_Tables_number 194
_symmetry_space_group_name_Hall '-P 6c 2c'
loop_
_atom_site_label
_atom_site_type_symbol
_atom_site_fract_x
_atom_site_fract_y
_atom_site_fract_z
Pr1 Pr 0.3333 0.6667 0.0498
Nd1 Nd 0.0000 0.0000 0.2500
Sm1 Sm 0.3333 0.6667 0.6506
```

=====

[2]
A plane-wave DFT calculation with GGA-PBE was carried out for a geometry-optimized Rb2PdCl4 structure.

Results
The energy above the most stable polymorph in this dataset comes out at 0.000 eV per atom.

```
data_Rb2PdCl4
_cell_length_a 4.393
_cell_length_b 10.399
_cell_length_c 10.245
_cell_angle_alpha 90.00
_cell_angle_beta 90.00
_cell_angle_gamma 90.00
_symmetry_space_group_name_H-M 'A m m 2'
_symmetry_Int_Tables_number 38
loop_
_symmetry_equiv_pos_as_xyz
'x,y,z'
'-x,-y,z'
'-x,y,z'
'x,-y,z'
'x,y+1/2,z+1/2'
'-x,-y+1/2,z+1/2'
'-x,y+1/2,z+1/2'
'x,-y+1/2,z+1/2'
loop_
_atom_site_label
_atom_site_type_symbol
_atom_site_fract_x
_atom_site_fract_y
_atom_site_fract_z
Rb1 Rb 0.000 0.250 0.000
Pd1 Pd 0.500 0.000 0.249
Cl1 Cl 0.500 0.000 0.021
Cl2 Cl 0.500 0.000 0.477
Cl3 Cl 0.500 0.225 0.250
```

=====

[3]
A plane-wave DFT calculation with GGA-PBE was carried out for a geometry-optimized SmAgAu structure.

Results
The formation energy from the elements comes out at -0.193 eV/atom. The energy above the most stable polymorph in this dataset comes out at 0.385 eV per atom. The total magnetization comes out at 0.01 μB/atom.

```
data_SmAgAu
_cell_length_a 6.901
_cell_length_b 6.901
_cell_length_c 6.901
_cell_angle_alpha 90.00
_cell_angle_beta 90.00
_cell_angle_gamma 90.00
_symmetry_space_group_name_H-M 'F -4 3 m'
_symmetry_Int_Tables_number 216
_symmetry_space_group_name_Hall 'F -4 2 3'
loop_
_atom_site_label
_atom_site_type_symbol
_atom_site_fract_x
_atom_site_fract_y
_atom_site_fract_z
Sm1 Sm 0.000 0.000 0.000
Ag1 Ag 0.250 0.250 0.750
Au1 Au 0.250 0.250 0.250
```

=====

[4]
A plane-wave DFT calculation with GGA-PBE was carried out for a geometry-optimized Tc2Cl5O4 structure.

Results
The total energy comes out at -59.67 eV/cell. The total magnetization comes out at 0.09 μB/atom.

```
data_Tc2Cl5O4
_cell_length_a 5.748
_cell_length_b 5.926
_cell_length_c 7.683
_cell_angle_alpha 70.71
_cell_angle_beta 80.33
_cell_angle_gamma 84.69
_symmetry_space_group_name_H-M 'P 1'
_symmetry_Int_Tables_number 1
loop_
_symmetry_equiv_pos_as_xyz
'x,y,z'
loop_
_atom_site_label
_atom_site_type_symbol
_atom_site_fract_x
_atom_site_fract_y
_atom_site_fract_z
Tc1 Tc 0.000 0.000 0.000
Tc2 Tc 0.356 0.479 0.556
Cl1 Cl 0.157 0.143 0.196
Cl2 Cl 0.339 0.770 0.983
Cl3 Cl 0.598 0.294 0.388
Cl4 Cl 0.778 0.350 0.923
Cl5 Cl 0.949 0.968 0.719
O1 O 0.100 0.563 0.463
O2 O 0.293 0.289 0.782
O3 O 0.487 0.725 0.556
O4 O 0.808 0.806 0.148
```

=====

[5]
A plane-wave DFT calculation with GGA-PBE was carried out for a geometry-optimized LuTcAu structure.

Results
The formation energy from the elements comes out at 0.629 eV/atom. The energy above the most stable polymorph in this dataset comes out at 0.341 eV per atom. The total magnetization comes out at 0.57 μB/atom.

```
data_LuTcAu
_cell_length_a 6.426
_cell_length_b 6.426
_cell_length_c 6.426
_cell_angle_alpha 90.00
_cell_angle_beta 90.00
_cell_angle_gamma 90.00
_symmetry_space_group_name_H-M 'F -4 3 m'
_symmetry_Int_Tables_number 216
_symmetry_space_group_name_Hall 'F -4 2 3'
loop_
_atom_site_label
_atom_site_type_symbol
_atom_site_fract_x
_atom_site_fract_y
_atom_site_fract_z
Lu1 Lu 0.000 0.000 0.000
Tc1 Tc 0.250 0.250 0.250
Au1 Au 0.250 0.250 0.750
```

=====

[6]
A plane-wave DFT calculation with GGA-PBE was carried out for a geometry-optimized BPt8 structure.

Results
The total energy comes out at -47.68 eV/cell. The total magnetization comes out at 0.00 μB/atom.

```
data_BPt8
_cell_length_a 8.7106
_cell_length_b 8.7106
_cell_length_c 2.6352
_cell_angle_alpha 90.00
_cell_angle_beta 90.00
_cell_angle_gamma 120.00
_symmetry_space_group_name_H-M 'P 6/m m m'
_symmetry_Int_Tables_number 191
_symmetry_space_group_name_Hall '-P 6 2'
loop_
_atom_site_label
_atom_site_type_symbol
_atom_site_fract_x
_atom_site_fract_y
_atom_site_fract_z
B1 B 0.0000 0.0000 0.0000
Pt1 Pt 0.1674 0.3348 0.5000
Pt2 Pt 0.3333 0.6667 0.5000
```

=====

[7]
A plane-wave DFT calculation with GGA-PBE was carried out for a geometry-optimized DyZrCd2Au4 structure.

Results
The formation energy from the elements comes out at -0.570 eV/atom. The total magnetization comes out at 0.00 μB/atom.

```
data_DyZrCd2Au4
_cell_length_a 4.868
_cell_length_b 4.868
_cell_length_c 6.866
_cell_angle_alpha 90.00
_cell_angle_beta 90.00
_cell_angle_gamma 90.00
_symmetry_space_group_name_H-M 'P 4/m m m'
_symmetry_Int_Tables_number 123
_symmetry_space_group_name_Hall '-P 4 2'
loop_
_atom_site_label
_atom_site_type_symbol
_atom_site_fract_x
_atom_site_fract_y
_atom_site_fract_z
Dy1 Dy 0.000 0.000 0.000
Zr1 Zr 0.500 0.500 0.500
Cd1 Cd 0.000 0.000 0.500
Cd2 Cd 0.500 0.500 0.000
Au1 Au 0.000 0.500 0.263
```

=====

[8]
A plane-wave DFT calculation with GGA-PBE was carried out for a geometry-optimized LiBiPd2 structure.

Results
The total energy comes out at -35.54 eV/cell.

```
data_LiBiPd2
_cell_length_a 4.6835
_cell_length_b 4.6835
_cell_length_c 8.0529
_cell_angle_alpha 90.00
_cell_angle_beta 90.00
_cell_angle_gamma 120.00
_symmetry_space_group_name_H-M 'P 63/m m c'
_symmetry_Int_Tables_number 194
_symmetry_space_group_name_Hall '-P 6c 2c'
loop_
_atom_site_label
_atom_site_type_symbol
_atom_site_fract_x
_atom_site_fract_y
_atom_site_fract_z
Li1 Li 0.3333 0.6667 0.2500
Bi1 Bi 0.0000 0.0000 0.0000
Pd1 Pd 0.3333 0.6667 0.5794
```

=====

[9]
A plane-wave DFT calculation with GGA-PBE was carried out for a geometry-optimized PrNd2Ni2C2N3 structure.

Results
The total energy comes out at -151.69 eV/cell. The total magnetization comes out at 0.00 μB/atom.

```
data_PrNd2Ni2C2N3
_cell_length_a 3.607
_cell_length_b 3.607
_cell_length_c 20.057
_cell_angle_alpha 90.00
_cell_angle_beta 90.00
_cell_angle_gamma 90.00
_symmetry_space_group_name_H-M 'I 4/m m m'
_symmetry_Int_Tables_number 139
_symmetry_space_group_name_Hall '-I 4 2'
loop_
_atom_site_label
_atom_site_type_symbol
_atom_site_fract_x
_atom_site_fract_y
_atom_site_fract_z
Pr1 Pr 0.000 0.000 0.000
Nd1 Nd 0.000 0.000 0.371
Ni1 Ni 0.000 0.500 0.250
C1 C 0.000 0.000 0.193
N1 N 0.000 0.000 0.124
N2 N 0.000 0.000 0.500
```

=====

[10]
A plane-wave DFT calculation with GGA-PBE was carried out for a geometry-optimized Zr2Sn3Mo4C3 structure.

Results
The total energy comes out at -414.02 eV/cell. The total magnetization comes out at 0.00 μB/atom.

```
data_Zr2Sn3Mo4C3
_cell_length_a 9.779
_cell_length_b 5.659
_cell_length_c 14.141
_cell_angle_alpha 90.00
_cell_angle_beta 103.06
_cell_angle_gamma 90.00
_symmetry_space_group_name_H-M 'C 1 2/c 1'
_symmetry_Int_Tables_number 15
loop_
_symmetry_equiv_pos_as_xyz
'x,y,z'
'-x,-y,-z'
'-x,y,-z+1/2'
'x,-y,z+1/2'
'x+1/2,y+1/2,z'
'-x+1/2,-y+1/2,-z'
'-x+1/2,y+1/2,-z+1/2'
'x+1/2,-y+1/2,z+1/2'
loop_
_atom_site_label
_atom_site_type_symbol
_atom_site_fract_x
_atom_site_fract_y
_atom_site_fract_z
Zr1 Zr 0.052 0.083 0.406
Sn1 Sn 0.000 0.454 0.250
Sn2 Sn 0.185 0.101 0.749
Mo1 Mo 0.108 0.413 0.577
Mo2 Mo 0.227 0.417 0.924
C1 C 0.085 0.256 0.000
C2 C 0.250 0.250 0.500
```

=====

[11]
A plane-wave DFT calculation with GGA-PBE was carried out for a geometry-optimized NaNiHgSb structure.

Results
The energy above the most stable polymorph in this dataset comes out at 0.245 eV per atom. The total magnetization comes out at 0.00 μB/atom.

```
data_NaNiHgSb
_cell_length_a 6.880
_cell_length_b 6.880
_cell_length_c 6.880
_cell_angle_alpha 90.00
_cell_angle_beta 90.00
_cell_angle_gamma 90.00
_symmetry_space_group_name_H-M 'F -4 3 m'
_symmetry_Int_Tables_number 216
_symmetry_space_group_name_Hall 'F -4 2 3'
loop_
_atom_site_label
_atom_site_type_symbol
_atom_site_fract_x
_atom_site_fract_y
_atom_site_fract_z
Na1 Na 0.000 0.000 0.000
Ni1 Ni 0.250 0.250 0.250
Hg1 Hg 0.000 0.000 0.500
Sb1 Sb 0.250 0.250 0.750
```

=====

[12]
A plane-wave DFT calculation with GGA-PBE was carried out for a geometry-optimized BaHg6Pd6 structure.

Results
The total energy comes out at -78.03 eV/cell.

```
data_BaHg6Pd6
_cell_length_a 5.739
_cell_length_b 9.404
_cell_length_c 9.910
_cell_angle_alpha 90.00
_cell_angle_beta 90.00
_cell_angle_gamma 90.00
_symmetry_space_group_name_H-M 'I m m m'
_symmetry_Int_Tables_number 71
_symmetry_space_group_name_Hall '-I 2 2'
loop_
_atom_site_label
_atom_site_type_symbol
_atom_site_fract_x
_atom_site_fract_y
_atom_site_fract_z
Ba1 Ba 0.000 0.000 0.000
Hg1 Hg 0.000 0.000 0.345
Hg2 Hg 0.000 0.341 0.000
Hg3 Hg 0.000 0.500 0.315
Pd1 Pd 0.000 0.259 0.500
Pd2 Pd 0.250 0.250 0.250
```

=====

[13]
A plane-wave DFT calculation with GGA-PBE was carried out for a geometry-optimized Sm4As3S structure.

Results
The total energy comes out at -100.84 eV/cell. The total magnetization comes out at 0.00 μB/atom.

```
data_Sm4As3S
_cell_length_a 8.332
_cell_length_b 11.784
_cell_length_c 4.172
_cell_angle_alpha 90.00
_cell_angle_beta 90.00
_cell_angle_gamma 90.00
_symmetry_space_group_name_H-M 'C m m m'
_symmetry_Int_Tables_number 65
_symmetry_space_group_name_Hall '-C 2 2'
loop_
_atom_site_label
_atom_site_type_symbol
_atom_site_fract_x
_atom_site_fract_y
_atom_site_fract_z
Sm1 Sm 0.000 0.250 0.000
Sm2 Sm 0.250 0.000 0.500
As1 As 0.000 0.000 0.000
As2 As 0.250 0.250 0.500
S1 S 0.000 0.500 0.000
```

=====

[14]
A plane-wave DFT calculation with GGA-PBE was carried out for a geometry-optimized Zr2Ga2Pd structure.

Results
The total energy comes out at -63.70 eV/cell. The total magnetization comes out at 0.00 μB/atom.

```
data_Zr2Ga2Pd
_cell_length_a 6.615
_cell_length_b 6.615
_cell_length_c 4.168
_cell_angle_alpha 90.00
_cell_angle_beta 90.00
_cell_angle_gamma 90.00
_symmetry_space_group_name_H-M 'P 4/m b m'
_symmetry_Int_Tables_number 127
_symmetry_space_group_name_Hall '-P 4 2ab'
loop_
_atom_site_label
_atom_site_type_symbol
_atom_site_fract_x
_atom_site_fract_y
_atom_site_fract_z
Zr1 Zr 0.170 0.330 0.000
Ga1 Ga 0.137 0.637 0.500
Pd1 Pd 0.000 0.000 0.500
```

=====

[15]
A plane-wave DFT calculation with GGA-PBE was carried out for a geometry-optimized Nb2SN structure.

Results
The energy above the most stable polymorph in this dataset comes out at 0.014 eV per atom. The total magnetization comes out at 0.00 μB/atom.

```
data_Nb2SN
_cell_length_a 3.1423
_cell_length_b 3.1423
_cell_length_c 12.3788
_cell_angle_alpha 90.00
_cell_angle_beta 90.00
_cell_angle_gamma 120.00
_symmetry_space_group_name_H-M 'P 63/m m c'
_symmetry_Int_Tables_number 194
_symmetry_space_group_name_Hall '-P 6c 2c'
loop_
_atom_site_label
_atom_site_type_symbol
_atom_site_fract_x
_atom_site_fract_y
_atom_site_fract_z
Nb1 Nb 0.3333 0.6667 0.1057
S1 S 0.3333 0.6667 0.7500
N1 N 0.0000 0.0000 0.0000
```

=====

[16]
A plane-wave DFT calculation with GGA-PBE was carried out for a geometry-optimized Dy3HoPb2C2 structure.

Results
The total energy comes out at -48.21 eV/cell. The total magnetization comes out at 0.00 μB/atom.

```
data_Dy3HoPb2C2
_cell_length_a 3.6335
_cell_length_b 3.6335
_cell_length_c 16.1201
_cell_angle_alpha 90.00
_cell_angle_beta 90.00
_cell_angle_gamma 120.00
_symmetry_space_group_name_H-M 'P 3 m 1'
_symmetry_Int_Tables_number 156
loop_
_symmetry_equiv_pos_as_xyz
'x,y,z'
'-y,x-y,z'
'-x+y,-x,z'
'-y,-x,z'
'-x+y,y,z'
'x,x-y,z'
loop_
_atom_site_label
_atom_site_type_symbol
_atom_site_fract_x
_atom_site_fract_y
_atom_site_fract_z
Dy1 Dy 0.0000 0.0000 0.0000
Dy2 Dy 0.0000 0.0000 0.3349
Dy3 Dy 0.6667 0.3333 0.8348
Ho1 Ho 0.6667 0.3333 0.4999
Pb1 Pb 0.0000 0.0000 0.6673
Pb2 Pb 0.6667 0.3333 0.1674
C1 C 0.3333 0.6667 0.4175
C2 C 0.3333 0.6667 0.9174
```

=====

[17]
A plane-wave DFT calculation with GGA-PBE was carried out for a geometry-optimized MgAgSbPt structure.

Results
The energy above the most stable polymorph in this dataset comes out at 0.000 eV per atom. The total magnetization comes out at 0.00 μB/atom.

```
data_MgAgSbPt
_cell_length_a 6.691
_cell_length_b 6.691
_cell_length_c 6.691
_cell_angle_alpha 90.00
_cell_angle_beta 90.00
_cell_angle_gamma 90.00
_symmetry_space_group_name_H-M 'F -4 3 m'
_symmetry_Int_Tables_number 216
_symmetry_space_group_name_Hall 'F -4 2 3'
loop_
_atom_site_label
_atom_site_type_symbol
_atom_site_fract_x
_atom_site_fract_y
_atom_site_fract_z
Mg1 Mg 0.000 0.000 0.000
Ag1 Ag 0.250 0.250 0.750
Sb1 Sb 0.000 0.000 0.500
Pt1 Pt 0.250 0.250 0.250
```

=====

[18]
A plane-wave DFT calculation with GGA-PBE was carried out for a geometry-optimized YCuAsW structure.

Results
The energy above the most stable polymorph in this dataset comes out at 0.000 eV per atom. The total magnetization comes out at 0.01 μB/atom.

```
data_YCuAsW
_cell_length_a 6.557
_cell_length_b 6.557
_cell_length_c 6.557
_cell_angle_alpha 90.00
_cell_angle_beta 90.00
_cell_angle_gamma 90.00
_symmetry_space_group_name_H-M 'F -4 3 m'
_symmetry_Int_Tables_number 216
_symmetry_space_group_name_Hall 'F -4 2 3'
loop_
_atom_site_label
_atom_site_type_symbol
_atom_site_fract_x
_atom_site_fract_y
_atom_site_fract_z
Y1 Y 0.000 0.000 0.000
Cu1 Cu 0.250 0.250 0.750
As1 As 0.000 0.000 0.500
W1 W 0.250 0.250 0.250
```

=====

[19]
A plane-wave DFT calculation with GGA-PBE was carried out for a geometry-optimized MgZrMoW structure.

Results
The energy above the most stable polymorph in this dataset comes out at 0.013 eV per atom. The total magnetization comes out at 0.00 μB/atom.

```
data_MgZrMoW
_cell_length_a 6.589
_cell_length_b 6.589
_cell_length_c 6.589
_cell_angle_alpha 90.00
_cell_angle_beta 90.00
_cell_angle_gamma 90.00
_symmetry_space_group_name_H-M 'F -4 3 m'
_symmetry_Int_Tables_number 216
_symmetry_space_group_name_Hall 'F -4 2 3'
loop_
_atom_site_label
_atom_site_type_symbol
_atom_site_fract_x
_atom_site_fract_y
_atom_site_fract_z
Mg1 Mg 0.000 0.000 0.000
Zr1 Zr 0.250 0.250 0.750
Mo1 Mo 0.000 0.000 0.500
W1 W 0.250 0.250 0.250
```

=====

[20]
A plane-wave DFT calculation with GGA-PBE was carried out for a geometry-optimized BeHgB structure.

Results
The energy above the most stable polymorph in this dataset comes out at 0.000 eV per atom.

```
data_BeHgB
_cell_length_a 5.369
_cell_length_b 5.369
_cell_length_c 5.369
_cell_angle_alpha 90.00
_cell_angle_beta 90.00
_cell_angle_gamma 90.00
_symmetry_space_group_name_H-M 'F -4 3 m'
_symmetry_Int_Tables_number 216
_symmetry_space_group_name_Hall 'F -4 2 3'
loop_
_atom_site_label
_atom_site_type_symbol
_atom_site_fract_x
_atom_site_fract_y
_atom_site_fract_z
Be1 Be 0.000 0.000 0.000
Hg1 Hg 0.000 0.000 0.500
B1 B 0.250 0.250 0.250
```

=====

Asked for density across the records above, the calculation gives 7.40; 2.97; 9.20; 2.98; 11.76; 15.07; 12.92; 9.31; 7.80; 8.35; 8.24; 12.29; 6.96; 7.80; 7.28; 9.83; 9.96; 9.69; 9.18; 9.46 g/cm3 in order.